## PuNi2O5 (PBE with a Hubbard U)

Data for PuNi2O5 after structural relaxation.

Lattice parameters (Å, degrees): 7.606 6.457 8.580 90.00 89.89 90.00
Each line ends with the local moment (μB).
Positions (direct):
Pu 0.500 0.250 0.500  -2.36
Pu 0.500 0.750 0.500  -2.36
Pu 0.000 0.750 0.000  2.72
Pu 0.000 0.250 0.000  2.72
Ni 0.583 0.500 0.864  1.78
Ni 0.417 0.500 0.136  1.78
Ni 0.083 0.500 0.636  1.77
Ni 0.417 0.000 0.136  1.78
Ni 0.917 0.500 0.364  1.77
Ni 0.583 0.000 0.864  1.78
Ni 0.917 0.000 0.364  1.77
Ni 0.083 0.000 0.636  1.77
O 0.000 0.250 0.500  0.10
O 0.000 0.750 0.500  0.10
O 0.500 0.750 0.000  0.13
O 0.500 0.250 0.000  0.13
O 0.340 0.000 0.574  0.12
O 0.660 0.000 0.426  0.12
O 0.838 0.000 0.927  -0.08
O 0.660 0.500 0.426  0.12
O 0.162 0.000 0.073  -0.08
O 0.340 0.500 0.574  0.12
O 0.162 0.500 0.073  -0.08
O 0.838 0.500 0.927  -0.08
O 0.107 0.250 0.792  -0.10
O 0.893 0.750 0.208  -0.10
O 0.609 0.750 0.706  0.13
O 0.391 0.250 0.294  0.13
O 0.609 0.250 0.706  0.13
O 0.391 0.750 0.294  0.13
O 0.107 0.750 0.792  -0.10
O 0.893 0.250 0.208  -0.10

E, eV/atom: -7.143
Space-group type: P2/m, No. 10
N(E_F), states/eV/cell: 7.4